(1)
The following is a GGA-PBEsol calculation of a relaxed Fe2RuSe crystal, from the Alexandria database.

abc: 2.8249 2.8249 6.2217
angles: 90.00 90.00 90.00
Last column: nearest neighbours and their distance in Å.
Sites, in units of the cell vectors:
Fe  0.0000  0.0000  0.7396  4 Se 2.49, 4 Ru 2.57
Fe  0.0000  0.0000  0.2604  4 Se 2.49, 4 Ru 2.57
Ru  0.5000  0.5000  0.0000  8 Fe 2.57, 4 Ru 2.82
Se  0.5000  0.5000  0.5000  8 Fe 2.49

Summary:
Energy in eV/atom: -7.7547

***

(2)
The following is a GGA-PBEsol calculation of a relaxed FeSi3Ru crystal, from the Alexandria database.

abc: 4.1798 4.1798 4.1798
angles: 90.00 90.00 90.00
Last column: nearest neighbours and their distance in Å.
Sites, in units of the cell vectors:
Ru  0.5000  0.5000  0.5000  12 Si 2.96
Si  0.0000  0.5000  0.0000  2 Fe 2.09
Si  0.0000  0.0000  0.5000  2 Fe 2.09
Si  0.5000  0.0000  0.0000  2 Fe 2.09
Fe  0.0000  0.0000  0.0000  6 Si 2.09

Summary:
Energy in eV/atom: -6.6770

***

(3)
The following is a GGA-PBEsol calculation of a relaxed Fe2SiRu crystal, from the Alexandria database.

abc: 2.8131 3.9723 4.7740
angles: 114.58 107.14 90.00
Last column: nearest neighbours and their distance in Å.
Sites, in units of the cell vectors:
Ru  0.5000  0.0000  0.0000  4 Si 2.43, 4 Fe 2.56
Si  0.0000  0.5000  0.0000  4 Fe 2.42, 4 Ru 2.43
Fe  0.7394  0.7394  0.4788  2 Si 2.42, 4 Fe 2.44, 2 Ru 2.56
Fe  0.2606  0.2606  0.5212  2 Si 2.42, 4 Fe 2.44, 2 Ru 2.56

Summary:
Energy in eV/atom: -8.7347

***

(4)
The following is a GGA-PBEsol calculation of a relaxed Fe2SiRu crystal, from the Alexandria database.

abc: 2.8715 2.8715 5.5957
angles: 90.00 90.00 90.00
Last column: nearest neighbours and their distance in Å.
Sites, in units of the cell vectors:
Ru  0.0000  0.0000  0.5107  4 Si 2.48, 5 Fe 2.57-2.72
Si  0.5000  0.5000  0.7637  5 Fe 2.41-2.60, 4 Ru 2.48
Fe  0.0000  0.0000  0.9970  4 Fe 2.41, 4 Si 2.41
Fe  0.5000  0.5000  0.2286  4 Fe 2.41, 4 Ru 2.57, 1 Si 2.60

Summary:
Energy in eV/atom: -8.7492